PaFeB2O8 | GGA+U | optimized geometry

abc: 5.1532 5.1532 6.0464
angles: 90.00 90.00 120.00
Closest atoms and distances in Å follow each position.
Space group P-3m1 (No. 164)
Symmetry-distinct sites (fractional):
1 Pa 0.0000 0.0000 0.0000  6 O 2.18
2 Fe 0.0000 0.0000 0.5000  6 O 2.17
3 B 0.3333 0.6667 0.6708  4 O 1.43-1.49
4 O 0.1750 0.3499 0.7494  1 B 1.49
5 O 0.3333 0.6667 0.4342  1 B 1.43

The total energy is -0.5581 Ry/atom.